## a
Entry from Alexandria via LeMat-Bulk: a geometry-optimized InGaSbI2 structure (PBE).

Lattice parameters (Å, degrees): 5.8376 5.8376 5.3786 90.00 90.00 90.00
Closest atoms and distances in Å follow each position.
Fractional coordinates of all 5 atoms:
1 In 0.5000 0.5000 0.5000  8 I 3.97, 4 Sb 4.13
2 I 0.5000 0.0000 0.0000  2 Ga 2.92
3 I 0.0000 0.5000 0.0000  2 Ga 2.92
4 Sb 0.0000 0.0000 0.5000  2 Ga 2.69
5 Ga 0.0000 0.0000 0.0000  2 Sb 2.69, 4 I 2.92

Results
total magnetic moment	0.00	μB per formula unit

---

## b
Entry from Alexandria via LeMat-Bulk: a geometry-optimized InGaSbI2 structure (PBE).

Lattice parameters (Å, degrees): 6.1153 6.1153 5.7456 90.00 90.00 90.00
Closest atoms and distances in Å follow each position.
Fractional coordinates of all 5 atoms:
1 Sb 0.0000 0.0000 0.5000  2 In 2.87
2 I 0.5000 0.0000 0.0000  2 In 3.06
3 Ga 0.5000 0.5000 0.5000  8 I 4.20, 4 Sb 4.32
4 I 0.0000 0.5000 0.0000  2 In 3.06
5 In 0.0000 0.0000 0.0000  2 Sb 2.87, 4 I 3.06

Results
total magnetic moment	1.53	μB per formula unit

---

Which of them is most stable? Easy: a.

---

## a
Entry from Alexandria via LeMat-Bulk: a geometry-optimized GaIr2I structure (PBE).

Lattice parameters (Å, degrees): 4.3434 4.3434 8.7479 75.63 75.63 90.00
Closest atoms and distances in Å follow each position.
Fractional coordinates of all 8 atoms:
1 Ir 0.1307 0.6250 0.2500  2 Ga 2.55, 2 I 2.57
2 Ir 0.6193 0.1250 0.2500  2 Ga 2.55, 2 I 2.57
3 Ga 0.2500 0.7500 0.5000  4 Ir 2.55
4 Ir 0.3750 0.3807 0.7500  2 Ga 2.55, 2 I 2.57
5 Ga 0.5000 0.5000 0.0000  4 Ir 2.55
6 Ir 0.8750 0.8693 0.7500  2 Ga 2.55, 2 I 2.57
7 I 0.7500 0.2500 0.5000  4 Ir 2.57
8 I 0.0000 0.0000 0.0000  4 Ir 2.57

Results
total magnetic moment	0.00	μB per formula unit

---

## b
Entry from Alexandria via LeMat-Bulk: a geometry-optimized GaIr2I structure (PBE).

Lattice parameters (Å, degrees): 4.6066 4.6066 4.6066 60.00 60.00 60.00
Closest atoms and distances in Å follow each position.
Fractional coordinates of all 4 atoms:
1 I 0.5000 0.5000 0.5000  8 Ir 2.82
2 Ir 0.7500 0.7500 0.7500  4 Ga 2.82, 4 I 2.82
3 Ir 0.2500 0.2500 0.2500  4 I 2.82, 4 Ga 2.82
4 Ga 0.0000 0.0000 0.0000  8 Ir 2.82

Results
total magnetic moment	0.00	μB per formula unit

---

Which of them is most stable? Easy: a.

---

## a
Entry from Alexandria via LeMat-Bulk: a geometry-optimized GaIr3I structure (PBE).

Lattice parameters (Å, degrees): 4.6560 4.6560 4.6560 90.00 90.00 90.00
Closest atoms and distances in Å follow each position.
Fractional coordinates of all 5 atoms:
1 I 0.5000 0.5000 0.5000  12 Ir 3.29
2 Ir 0.5000 0.0000 0.0000  2 Ga 2.33
3 Ga 0.0000 0.0000 0.0000  6 Ir 2.33
4 Ir 0.0000 0.0000 0.5000  2 Ga 2.33
5 Ir 0.0000 0.5000 0.0000  2 Ga 2.33

Results
total magnetic moment	2.12	μB per formula unit

---

## b
Entry from Alexandria via LeMat-Bulk: a geometry-optimized GaIr3I structure (PBE).

Lattice parameters (Å, degrees): 4.9099 4.9099 4.9099 90.00 90.00 90.00
Closest atoms and distances in Å follow each position.
Fractional coordinates of all 5 atoms:
1 Ir 0.0000 0.5000 0.0000  2 I 2.45
2 I 0.0000 0.0000 0.0000  6 Ir 2.45
3 Ir 0.0000 0.0000 0.5000  2 I 2.45
4 Ir 0.5000 0.0000 0.0000  2 I 2.45
5 Ga 0.5000 0.5000 0.5000  12 Ir 3.47

Results
total magnetic moment	1.88	μB per formula unit

---

Which of them is most stable? Easy: a.

---

## a
Entry from Alexandria via LeMat-Bulk: a geometry-optimized GaIrI2 structure (PBE).

Lattice parameters (Å, degrees): 5.1799 5.1799 5.1799 60.00 60.00 60.00
Closest atoms and distances in Å follow each position.
Fractional coordinates of all 4 atoms:
1 Ga 0.0000 0.0000 0.0000  8 I 3.17
2 I 0.7500 0.7500 0.7500  4 Ir 3.17, 4 Ga 3.17
3 Ir 0.5000 0.5000 0.5000  8 I 3.17
4 I 0.2500 0.2500 0.2500  4 Ir 3.17, 4 Ga 3.17

Results
total magnetic moment	2.01	μB per formula unit

---

## b
Entry from Alexandria via LeMat-Bulk: a geometry-optimized GaIrI2 structure (PBE).

Lattice parameters (Å, degrees): 6.7899 6.7899 7.9405 64.69 64.69 90.00
Closest atoms and distances in Å follow each position.
Fractional coordinates of all 8 atoms:
1 I 0.6981 0.1250 0.2500  2 Ir 2.61
2 Ir 0.0000 0.0000 0.0000  4 I 2.61
3 Ga 0.5000 0.5000 0.0000  4 I 3.19
4 I 0.0519 0.6250 0.2500  2 Ir 2.61
5 Ir 0.7500 0.2500 0.5000  4 I 2.61
6 I 0.3750 0.3019 0.7500  2 Ir 2.61
7 Ga 0.2500 0.7500 0.5000  4 I 3.19
8 I 0.8750 0.9481 0.7500  2 Ir 2.61

Results
total magnetic moment	0.00	μB per formula unit

---

Which of them is most stable? Easy: b.

---

## a
Entry from Alexandria via LeMat-Bulk: a geometry-optimized GaIrI2O structure (PBE).

Lattice parameters (Å, degrees): 5.5431 5.5431 3.5003 90.00 90.00 90.00
Closest atoms and distances in Å follow each position.
Fractional coordinates of all 5 atoms:
1 Ga 0.0000 0.0000 0.0000  2 O 1.75
2 I 0.0000 0.5000 0.0000  2 Ga 2.77
3 I 0.5000 0.0000 0.0000  2 Ga 2.77
4 Ir 0.5000 0.5000 0.5000  8 I 3.28, 2 Ir 3.50
5 O 0.0000 0.0000 0.5000  2 Ga 1.75

Results
total magnetic moment	0.00	μB per formula unit

---

## b
Entry from Alexandria via LeMat-Bulk: a geometry-optimized GaIrI2O structure (PBE).

Lattice parameters (Å, degrees): 5.7582 5.7582 3.7751 90.00 90.00 90.00
Closest atoms and distances in Å follow each position.
Fractional coordinates of all 5 atoms:
1 I 0.5000 0.0000 0.0000  2 Ir 2.88
2 I 0.0000 0.5000 0.0000  2 Ir 2.88
3 Ga 0.5000 0.5000 0.5000  8 I 3.44, 2 Ga 3.78
4 O 0.0000 0.0000 0.5000  2 Ir 1.89
5 Ir 0.0000 0.0000 0.0000  2 O 1.89

Results
total magnetic moment	0.00	μB per formula unit

---

Which of them is most stable? Easy: b.

---

## a
Entry from Alexandria via LeMat-Bulk: a geometry-optimized GaSb2IrI structure (PBE).

Lattice parameters (Å, degrees): 5.1293 5.1293 5.9293 90.00 90.00 90.00
Closest atoms and distances in Å follow each position.
Fractional coordinates of all 5 atoms:
1 I 0.0000 0.0000 0.5000  2 Ir 2.96
2 Sb 0.0000 0.5000 0.0000  2 Ir 2.56
3 Ga 0.5000 0.5000 0.5000  4 I 3.63, 8 Sb 3.92
4 Sb 0.5000 0.0000 0.0000  2 Ir 2.56
5 Ir 0.0000 0.0000 0.0000  4 Sb 2.56

Results
total magnetic moment	0.00	μB per formula unit

---

## b
Entry from Alexandria via LeMat-Bulk: a geometry-optimized GaSb2IrI structure (PBE).

Lattice parameters (Å, degrees): 5.1985 5.1985 5.2582 90.00 90.00 90.00
Closest atoms and distances in Å follow each position.
Fractional coordinates of all 5 atoms:
1 Sb 0.0000 0.5000 0.0000  2 Ga 2.60
2 I 0.0000 0.0000 0.5000  2 Ga 2.63
3 Ga 0.0000 0.0000 0.0000  4 Sb 2.60, 2 I 2.63
4 Sb 0.5000 0.0000 0.0000  2 Ga 2.60
5 Ir 0.5000 0.5000 0.5000  4 I 3.68, 8 Sb 3.70

Results
total magnetic moment	0.81	μB per formula unit

---

Which of them is most stable? Easy: a.